# 1
First-principles (PBE) data for crystalline RbCoSbI2 at its relaxed geometry, as listed in Alexandria.

Summary:
Spin magnetization, μB per cell: 6.7
Polymorph energy (0 for the lowest one), meV per atom: 1347
Formation energy (no corrections), eV per atom: 1.106

Cell lengths 6.9343, 6.9343, 7.1084 Å; angles 90.00, 90.00, 90.00 degrees
Fractional positions:
Rb1 0.0000 0.0000 0.0000
Co1 0.5000 0.5000 0.5000
Sb1 0.0000 0.0000 0.5000
I1 0.0000 0.5000 0.0000
I2 0.5000 0.0000 0.0000


# 2
First-principles (PBE) data for crystalline SiPtPb2 at its relaxed geometry, as listed in Alexandria.

Summary:
Spin magnetization, μB per cell: 0.0
Formation energy (no corrections), eV per atom: 0.240

Cell lengths 3.9651, 3.9651, 7.3532 Å; angles 106.26, 106.26, 61.13 degrees
Fractional positions:
Si1 0.0000 0.0000 0.0000
Pt1 0.5000 0.5000 0.5000
Pb1 0.2464 0.2464 0.7383
Pb2 0.7536 0.7536 0.2617


# 3
First-principles (PBE) data for crystalline Cs2ReBr at its relaxed geometry, as listed in Alexandria.

Summary:
Spin magnetization, μB per cell: 8.0
Polymorph energy (0 for the lowest one), meV per atom: 16
Formation energy (no corrections), eV per atom: 0.786

Cell lengths 8.2784, 8.2784, 8.2784 Å; angles 108.97, 108.97, 110.48 degrees
Fractional positions:
Cs1 0.1097 0.6250 0.9847
Cs2 0.3750 0.3597 0.4847
Cs3 0.6403 0.1250 0.0153
Cs4 0.8750 0.8903 0.5153
Re1 0.2500 0.7500 0.5000
Re2 0.5000 0.5000 0.0000
Br1 0.0000 0.0000 0.0000
Br2 0.7500 0.2500 0.5000


# 4
First-principles (PBE) data for crystalline BeCr2Fe5Tc2 at its relaxed geometry, as listed in Alexandria.

Summary:
Formation enthalpy at 0 K, eV per atom: 0.238
Spin magnetization, μB per cell: 8.2

Cell lengths 8.0284, 8.0284, 3.7135 Å; angles 90.00, 90.00, 90.00 degrees
Fractional positions:
Be1 0.0000 0.0000 0.0000
Be2 0.5000 0.5000 0.0000
Cr1 0.1311 0.3689 0.0000
Cr2 0.3689 0.8689 0.0000
Cr3 0.6311 0.1311 0.0000
Cr4 0.8689 0.6311 0.0000
Fe1 0.0000 0.5000 0.5000
Fe2 0.0666 0.1946 0.5000
Fe3 0.1946 0.9334 0.5000
Fe4 0.3054 0.4334 0.5000
Fe5 0.4334 0.6946 0.5000
Fe6 0.5000 0.0000 0.5000
Fe7 0.5666 0.3054 0.5000
Fe8 0.6946 0.5666 0.5000
Fe9 0.8054 0.0666 0.5000
Fe10 0.9334 0.8054 0.5000
Tc1 0.1668 0.6668 0.0000
Tc2 0.3332 0.1668 0.0000
Tc3 0.6668 0.8332 0.0000
Tc4 0.8332 0.3332 0.0000


# 5
First-principles (PBE) data for crystalline Ba2NaCrS at its relaxed geometry, as listed in Alexandria.

Summary:
Spin magnetization, μB per cell: 5.4
Formation energy (no corrections), eV per atom: -0.285

Cell lengths 6.1698, 6.1698, 5.2725 Å; angles 90.00, 90.00, 90.00 degrees
Fractional positions:
Ba1 0.0000 0.5000 0.0000
Ba2 0.5000 0.0000 0.0000
Na1 0.0000 0.0000 0.5000
Cr1 0.5000 0.5000 0.5000
S1 0.0000 0.0000 0.0000


# 6
First-principles (PBE) data for crystalline TaZnIr at its relaxed geometry, as listed in Alexandria.

Summary:
Formation enthalpy at 0 K, eV per atom: -0.427
Spin magnetization, μB per cell: 0.0

Cell lengths 4.8654, 4.8654, 5.1358 Å; angles 90.00, 90.00, 127.66 degrees
Fractional positions:
Ta1 0.2106 0.7894 0.7500
Ta2 0.7894 0.2106 0.2500
Zn1 0.5000 0.5000 0.0000
Zn2 0.5000 0.5000 0.5000
Ir1 0.1130 0.8870 0.2500
Ir2 0.8870 0.1130 0.7500


Please write out number 4 again, unchanged.
First-principles (PBE) data for crystalline BeCr2Fe5Tc2 at its relaxed geometry, as listed in Alexandria.

Summary:
Formation enthalpy at 0 K, eV per atom: 0.238
Spin magnetization, μB per cell: 8.2

Cell lengths 8.0284, 8.0284, 3.7135 Å; angles 90.00, 90.00, 90.00 degrees
Fractional positions:
Be1 0.0000 0.0000 0.0000
Be2 0.5000 0.5000 0.0000
Cr1 0.1311 0.3689 0.0000
Cr2 0.3689 0.8689 0.0000
Cr3 0.6311 0.1311 0.0000
Cr4 0.8689 0.6311 0.0000
Fe1 0.0000 0.5000 0.5000
Fe2 0.0666 0.1946 0.5000
Fe3 0.1946 0.9334 0.5000
Fe4 0.3054 0.4334 0.5000
Fe5 0.4334 0.6946 0.5000
Fe6 0.5000 0.0000 0.5000
Fe7 0.5666 0.3054 0.5000
Fe8 0.6946 0.5666 0.5000
Fe9 0.8054 0.0666 0.5000
Fe10 0.9334 0.8054 0.5000
Tc1 0.1668 0.6668 0.0000
Tc2 0.3332 0.1668 0.0000
Tc3 0.6668 0.8332 0.0000
Tc4 0.8332 0.3332 0.0000


- The highest spin magnetization belongs to which entry?
  BeCr2Fe5Tc2